(1)
Compound: LiNd2TlO
Source: Alexandria
Functional: PBE
Structure: optimized geometry

Cell lengths 4.996, 4.996, 4.396 Å; angles 90.00, 90.00, 90.00 degrees
Sites, in units of the cell vectors:
Li1 0.000 0.000 0.000
Nd1 0.000 0.500 0.500
Nd2 0.500 0.000 0.500
Tl1 0.500 0.500 0.000
O1 0.000 0.000 0.500

Values from the calculation:
- space-group type = No. 123
- magnetization (μB per cell) = 0.00
- final energy (eV/atom) = -5.08
- volume (Å³ per atom) = 21.9
- formation energy (no corrections) (eV per formula unit) = -6.61

=====

(2)
Compound: Th2Ga3SnPd4
Source: Alexandria
Functional: PBE
Structure: optimized geometry

Cell lengths 4.335, 4.335, 10.694 Å; angles 90.00, 90.00, 90.00 degrees
Sites, in units of the cell vectors:
Th1 0.000 0.500 0.236
Th2 0.500 0.000 0.764
Ga1 0.000 0.500 0.875
Ga2 0.500 0.000 0.125
Ga3 0.500 0.500 0.500
Sn1 0.000 0.000 0.500
Pd1 0.000 0.000 0.000
Pd2 0.000 0.500 0.645
Pd3 0.500 0.000 0.355
Pd4 0.500 0.500 0.000

Values from the calculation:
- space-group type = No. 115
- magnetization (μB per cell) = 0.00
- final energy (eV/atom) = -5.62
- DFT formation energy (kJ per mole of atoms) = -72.53
- volume (Å³ per atom) = 20.1

=====

(3)
Compound: AlSbP2
Source: Alexandria
Functional: PBE
Structure: optimized geometry

Cell lengths 3.773, 3.773, 5.608 Å; angles 90.00, 90.00, 90.00 degrees
Sites, in units of the cell vectors:
Al1 0.000 0.000 0.000
Sb1 0.500 0.500 0.508
P1 0.000 0.000 0.449
P2 0.500 0.500 0.963

Values from the calculation:
- space-group type = No. 99
- magnetization (μB per cell) = 0.00
- final energy (eV/atom) = -4.70
- energy above the most stable polymorph in this dataset (eV per formula unit) = 0.18
- volume (Å³ per atom) = 20.0
- formation energy (no corrections) (eV per formula unit) = -0.10

=====

(4)
Compound: CrGaSb2Cl
Source: Alexandria
Functional: PBE
Structure: optimized geometry

Cell lengths 5.216, 5.216, 4.704 Å; angles 90.00, 90.00, 90.00 degrees
Sites, in units of the cell vectors:
Cr1 0.000 0.000 0.000
Ga1 0.500 0.500 0.500
Sb1 0.000 0.500 0.000
Sb2 0.500 0.000 0.000
Cl1 0.000 0.000 0.500

Values from the calculation:
- space-group type = No. 123
- magnetization (μB per cell) = 2.12
- final energy (eV/atom) = -4.38
- volume (Å³ per atom) = 25.6
- formation energy (no corrections) (eV per formula unit) = 0.85

=====

(5)
Compound: LiTiTe2
Source: Alexandria
Functional: PBE
Structure: optimized geometry

Cell lengths 3.990, 3.990, 6.895 Å; angles 90.00, 90.00, 120.00 degrees
Sites, in units of the cell vectors:
Li1 0.000 0.000 0.000
Ti1 0.000 0.000 0.500
Te1 0.333 0.667 0.739
Te2 0.667 0.333 0.261

Values from the calculation:
- space-group type = No. 164
- magnetization (μB per cell) = 0.99
- final energy (eV/atom) = -4.85
- volume (Å³ per atom) = 23.8
- formation energy (no corrections) (eV per formula unit) = -3.31

=====

(6)
Compound: Li3Pm2TmTe6
Source: Alexandria
Functional: PBE
Structure: optimized geometry

Cell lengths 7.606, 7.606, 7.516 Å; angles 99.72, 99.72, 120.00 degrees
Sites, in units of the cell vectors:
Li1 0.000 0.000 0.000
Li2 0.332 0.668 0.000
Li3 0.668 0.332 0.000
Pm1 0.167 0.833 0.500
Pm2 0.833 0.167 0.500
Tm1 0.500 0.500 0.500
Te1 0.089 0.414 0.242
Te2 0.261 0.261 0.757
Te3 0.414 0.089 0.242
Te4 0.586 0.911 0.758
Te5 0.739 0.739 0.243
Te6 0.911 0.586 0.758

Values from the calculation:
- space-group type = No. 12
- magnetization (μB per cell) = 0.00
- final energy (eV/atom) = -4.50
- volume (Å³ per atom) = 29.5
- formation energy (no corrections) (eV per formula unit) = -15.46

=====

(7)
Compound: LiErLuRe
Source: Alexandria
Functional: PBE
Structure: optimized geometry

Cell lengths 4.860, 4.860, 4.860 Å; angles 60.00, 60.00, 60.00 degrees
Sites, in units of the cell vectors:
Li1 0.000 0.000 0.000
Er1 0.750 0.750 0.750
Lu1 0.250 0.250 0.250
Re1 0.500 0.500 0.500

Values from the calculation:
- space-group type = No. 216
- magnetization (μB per cell) = 0.00
- final energy (eV/atom) = -5.84
- DFT formation energy (kJ per mole of atoms) = 2.22
- volume (Å³ per atom) = 20.3

=====

(8)
Compound: ScOsCl2
Source: Alexandria
Functional: PBE
Structure: optimized geometry

Cell lengths 4.515, 4.515, 4.515 Å; angles 60.00, 60.00, 60.00 degrees
Sites, in units of the cell vectors:
Sc1 0.000 0.000 0.000
Os1 0.500 0.500 0.500
Cl1 0.250 0.250 0.250
Cl2 0.750 0.750 0.750

Values from the calculation:
- space-group type = No. 225
- magnetization (μB per cell) = 0.00
- final energy (eV/atom) = -4.98
- energy above the most stable polymorph in this dataset (eV per formula unit) = 3.52
- volume (Å³ per atom) = 16.3
- formation energy (no corrections) (eV per formula unit) = 1.34